Computed, not measured: a relaxed structure of CdH5Br3N2 at the GGA-PBE level of DFT.

```
CdH5Br3N2
1.0
3.900 0.000 0.000
0.000 20.270 0.000
-0.174 0.000 9.550
Cd H Br N
4 20 12 8
direct
0.235 0.091 0.346
0.235 0.409 0.846
0.765 0.591 0.154
0.765 0.909 0.654
0.007 0.117 0.797
0.007 0.383 0.297
0.016 0.091 0.962
0.016 0.409 0.462
0.152 0.694 0.462
0.152 0.806 0.962
0.160 0.721 0.629
0.160 0.779 0.129
0.455 0.663 0.578
0.455 0.837 0.078
0.545 0.163 0.922
0.545 0.337 0.422
0.840 0.221 0.871
0.840 0.279 0.371
0.848 0.194 0.038
0.848 0.306 0.538
0.984 0.591 0.538
0.984 0.909 0.038
0.993 0.617 0.703
0.993 0.883 0.203
0.226 0.214 0.235
0.226 0.286 0.735
0.254 0.596 0.952
0.254 0.904 0.452
0.270 0.535 0.324
0.270 0.965 0.824
0.730 0.035 0.176
0.730 0.465 0.676
0.746 0.096 0.548
0.746 0.404 0.048
0.774 0.714 0.265
0.774 0.786 0.765
0.060 0.132 0.899
0.060 0.368 0.399
0.200 0.680 0.566
0.200 0.820 0.066
0.800 0.180 0.934
0.800 0.320 0.434
0.940 0.632 0.601
0.940 0.868 0.101
```

Summary:
* total DFT energy (no corrections): -4.054 eV/atom

Computed, not measured: a relaxed structure of MgNbRu at the GGA-PBE level of DFT.

```
MgNbRu
1.0
4.440 0.000 0.000
0.000 4.440 0.000
0.000 0.000 6.167
Mg Nb Ru
2 2 2
direct
0.250 0.750 0.000
0.750 0.250 0.000
0.250 0.750 0.500
0.750 0.250 0.500
0.250 0.250 0.288
0.750 0.750 0.712
```

Summary:
* total DFT energy (no corrections): -6.897 eV/atom
* calculated formation energy: 83.1 meV/atom

Computed, not measured: a relaxed structure of K4SbAs at the GGA-PBE level of DFT.

```
K4SbAs
1.0
0.000 4.771 4.771
4.771 0.000 4.771
4.771 4.771 0.000
K Sb As
4 1 1
direct
0.125 0.125 0.125
0.125 0.125 0.624
0.125 0.624 0.125
0.624 0.125 0.125
0.750 0.750 0.750
0.500 0.500 0.500
```

Summary:
* total DFT energy (no corrections): -1.931 eV/atom
* ΔE_f (raw): 262 meV/atom

Computed, not measured: a relaxed structure of RbLi4Tl8 at the GGA-PBE level of DFT.

```
RbLi4Tl8
1.0
-5.313 5.313 3.054
5.313 -5.313 3.054
5.313 5.313 -3.054
Rb Li Tl
1 4 8
direct
0.000 0.000 0.000
0.000 0.000 0.500
0.000 0.500 0.000
0.500 0.000 0.000
0.500 0.500 0.500
0.000 0.347 0.347
0.000 0.653 0.653
0.277 0.500 0.777
0.347 0.000 0.347
0.500 0.277 0.777
0.500 0.723 0.223
0.653 0.000 0.653
0.723 0.500 0.223
```

Summary:
* total DFT energy (no corrections): -2.247 eV/atom
* calculated formation energy: -127.9 meV/atom

Computed, not measured: a relaxed structure of MoIr2Rh at the GGA-PBE level of DFT.

```
MoIr2Rh
1.0
9.148 0.000 0.000
0.000 2.741 0.000
-0.812 0.000 4.693
Mo Ir Rh
2 4 2
direct
0.000 0.000 0.000
0.500 0.500 0.000
0.249 0.500 0.252
0.497 0.000 0.498
0.749 0.000 0.252
0.997 0.500 0.498
0.249 0.000 0.750
0.749 0.500 0.750
```

Summary:
* distance to the lowest polymorph of the same formula: 106 meV/atom
* total DFT energy (no corrections): -9.115 eV/atom
* calculated formation energy: -139.2 meV/atom

Computed, not measured: a relaxed structure of RbScSn at the GGA-PBE level of DFT.

```
RbScSn
1.0
8.586 0.000 0.000
0.000 4.957 0.000
-2.883 0.000 11.878
Rb Sc Sn
4 4 4
direct
0.000 0.000 0.000
0.054 0.500 0.658
0.500 0.500 0.000
0.554 0.000 0.658
0.309 0.500 0.424
0.427 0.000 0.280
0.809 0.000 0.424
0.927 0.500 0.280
0.143 0.000 0.426
0.229 0.500 0.186
0.643 0.500 0.426
0.729 0.000 0.186
```

Summary:
* distance to the lowest polymorph of the same formula: 138 meV/atom
* total DFT energy (no corrections): -3.978 eV/atom
* calculated formation energy: -210.4 meV/atom

Computed, not measured: a relaxed structure of Zr4TaRu at the GGA-PBE level of DFT.

```
Zr4TaRu
1.0
0.000 3.958 3.958
3.958 0.000 3.958
3.958 3.958 0.000
Zr Ta Ru
4 1 1
direct
0.125 0.125 0.125
0.125 0.125 0.625
0.125 0.625 0.125
0.625 0.125 0.125
0.500 0.500 0.500
0.750 0.750 0.750
```

Summary:
* total DFT energy (no corrections): -8.661 eV/atom
* calculated formation energy: 559.0 meV/atom

Computed, not measured: a relaxed structure of Tb2ReB6 at the GGA-PBE level of DFT.

```
Tb2ReB6
1.0
9.211 0.000 0.000
0.000 11.606 0.000
0.000 0.000 3.700
Tb Re B
8 4 24
direct
0.058 0.130 0.000
0.176 0.414 0.000
0.324 0.914 0.000
0.442 0.630 0.000
0.558 0.370 0.000
0.676 0.086 0.000
0.824 0.586 0.000
0.942 0.870 0.000
0.138 0.679 0.000
0.362 0.179 0.000
0.638 0.821 0.000
0.862 0.321 0.000
0.018 0.288 0.500
0.053 0.567 0.500
0.100 0.972 0.500
0.130 0.814 0.500
0.209 0.234 0.500
0.248 0.582 0.500
0.252 0.082 0.500
0.291 0.734 0.500
0.370 0.314 0.500
0.400 0.472 0.500
0.447 0.067 0.500
0.482 0.788 0.500
0.518 0.212 0.500
0.553 0.933 0.500
0.600 0.528 0.500
0.630 0.686 0.500
0.709 0.266 0.500
0.748 0.918 0.500
0.752 0.418 0.500
0.791 0.766 0.500
0.870 0.186 0.500
0.900 0.028 0.500
0.947 0.433 0.500
0.982 0.712 0.500
```

Summary:
* total DFT energy (no corrections): -7.471 eV/atom
* calculated formation energy: -607.5 meV/atom

- Among the records above, which one has the highest total DFT energy (no corrections)?
  K4SbAs

- Look up the total DFT energy (no corrections) of the second one.
  -6.897 eV/atom

- What is the formula in the second record?
  MgNbRu